(1)
Material: Pr12Pu3Hg5
Method: DFT, PBE
State: relaxed

- ρ (g/cm3) = 7.25
- energy relative to the elements (eV per formula unit) = 7.212

Unit cell a=15.9769 b=15.9769 c=15.9769 alpha=109.47 beta=109.47 gamma=109.47
With the nearest neighbours (Å) after each atom.
Positions (direct):
Pr  0.0579  0.2259  0.1291  2 Hg 3.05-3.11, 1 Pu 3.23
Pr  0.0579  0.3320  0.9288  2 Hg 3.05-3.11, 1 Pu 3.23
Pr  0.0712  0.6291  0.4032  2 Hg 3.05-3.11, 1 Pu 3.23
Pr  0.0712  0.9421  0.6680  2 Hg 3.05-3.11, 1 Pu 3.23
Pr  0.0968  0.7259  0.6680  2 Hg 3.05-3.11, 1 Pu 3.23
Pr  0.0968  0.8709  0.4288  2 Hg 3.05-3.11, 1 Pu 3.23
Pr  0.1291  0.0579  0.2259  2 Hg 3.05-3.11, 1 Pu 3.23
Pr  0.1291  0.5712  0.9032  2 Hg 3.05-3.11, 1 Pu 3.23
Pr  0.1680  0.2259  0.5968  2 Hg 3.05-3.11, 1 Pu 3.23
Pr  0.1680  0.4421  0.5712  2 Hg 3.05-3.11, 1 Pu 3.23
Pr  0.2259  0.1291  0.0579  2 Hg 3.05-3.11, 1 Pu 3.23
Pr  0.2259  0.5968  0.1680  2 Hg 3.05-3.11, 1 Pu 3.23
Pr  0.2741  0.3320  0.9032  2 Hg 3.05-3.11, 1 Pu 3.23
Pr  0.2741  0.4421  0.3709  2 Hg 3.05-3.11, 1 Pu 3.23
Pr  0.3320  0.9032  0.2741  2 Hg 3.05-3.11, 1 Pu 3.23
Pr  0.3320  0.9288  0.0579  2 Hg 3.05-3.11, 1 Pu 3.23
Pr  0.3709  0.2741  0.4421  2 Hg 3.05-3.11, 1 Pu 3.23
Pr  0.3709  0.5968  0.9288  2 Hg 3.05-3.11, 1 Pu 3.23
Pr  0.4032  0.0712  0.6291  2 Hg 3.05-3.11, 1 Pu 3.23
Pr  0.4032  0.8320  0.7741  2 Hg 3.05-3.11, 1 Pu 3.23
Pr  0.4288  0.0968  0.8709  2 Hg 3.05-3.11, 1 Pu 3.23
Pr  0.4288  0.8320  0.5579  2 Hg 3.05-3.11, 1 Pu 3.23
Pr  0.4421  0.3709  0.2741  2 Hg 3.05-3.11, 1 Pu 3.23
Pr  0.4421  0.5712  0.1680  2 Hg 3.05-3.11, 1 Pu 3.23
Pr  0.5579  0.4288  0.8320  2 Hg 3.05-3.11, 1 Pu 3.23
Pr  0.5579  0.6291  0.7259  2 Hg 3.05-3.11, 1 Pu 3.23
Pr  0.5712  0.1680  0.4421  2 Hg 3.05-3.11, 1 Pu 3.23
Pr  0.5712  0.9032  0.1291  2 Hg 3.05-3.11, 1 Pu 3.23
Pr  0.5968  0.1680  0.2259  2 Hg 3.05-3.11, 1 Pu 3.23
Pr  0.5968  0.9288  0.3709  2 Hg 3.05-3.11, 1 Pu 3.23
Pr  0.6291  0.4032  0.0712  2 Hg 3.05-3.11, 1 Pu 3.23
Pr  0.6291  0.7259  0.5579  2 Hg 3.05-3.11, 1 Pu 3.23
Pr  0.6680  0.0712  0.9421  2 Hg 3.05-3.11, 1 Pu 3.23
Pr  0.6680  0.0968  0.7259  2 Hg 3.05-3.11, 1 Pu 3.23
Pr  0.7259  0.5579  0.6291  2 Hg 3.05-3.11, 1 Pu 3.23
Pr  0.7259  0.6680  0.0968  2 Hg 3.05-3.11, 1 Pu 3.23
Pr  0.7741  0.4032  0.8320  2 Hg 3.05-3.11, 1 Pu 3.23
Pr  0.7741  0.8709  0.9421  2 Hg 3.05-3.11, 1 Pu 3.23
Pr  0.8320  0.5579  0.4288  2 Hg 3.05-3.11, 1 Pu 3.23
Pr  0.8320  0.7741  0.4032  2 Hg 3.05-3.11, 1 Pu 3.23
Pr  0.8709  0.4288  0.0968  2 Hg 3.05-3.11, 1 Pu 3.23
Pr  0.8709  0.9421  0.7741  2 Hg 3.05-3.11, 1 Pu 3.23
Pr  0.9032  0.1291  0.5712  2 Hg 3.05-3.11, 1 Pu 3.23
Pr  0.9032  0.2741  0.3320  2 Hg 3.05-3.11, 1 Pu 3.23
Pr  0.9288  0.0579  0.3320  2 Hg 3.05-3.11, 1 Pu 3.23
Pr  0.9288  0.3709  0.5968  2 Hg 3.05-3.11, 1 Pu 3.23
Pr  0.9421  0.6680  0.0712  2 Hg 3.05-3.11, 1 Pu 3.23
Pr  0.9421  0.7741  0.8709  2 Hg 3.05-3.11, 1 Pu 3.23
Pu  0.1250  0.2500  0.3750  8 Pr 3.23-3.56
Pu  0.1250  0.3750  0.7500  8 Pr 3.23-3.56
Pu  0.2500  0.3750  0.1250  8 Pr 3.23-3.56
Pu  0.2500  0.8750  0.6250  8 Pr 3.23-3.56
Pu  0.3750  0.1250  0.2500  8 Pr 3.23-3.56
Pu  0.3750  0.7500  0.1250  8 Pr 3.23-3.56
Pu  0.6250  0.2500  0.8750  8 Pr 3.23-3.56
Pu  0.6250  0.8750  0.7500  8 Pr 3.23-3.56
Pu  0.7500  0.1250  0.3750  8 Pr 3.23-3.56
Pu  0.7500  0.6250  0.8750  8 Pr 3.23-3.56
Pu  0.8750  0.6250  0.2500  8 Pr 3.23-3.56
Pu  0.8750  0.7500  0.6250  8 Pr 3.23-3.56
Hg  0.0000  0.0000  0.0000  6 Pr 3.11
Hg  0.0000  0.0000  0.5000  6 Pr 3.11
Hg  0.0000  0.5000  0.0000  6 Pr 3.11
Hg  0.0000  0.5000  0.5000  6 Pr 3.11
Hg  0.1250  0.7500  0.8750  4 Pr 3.05
Hg  0.1250  0.8750  0.2500  4 Pr 3.05
Hg  0.2500  0.1250  0.8750  4 Pr 3.05
Hg  0.2500  0.6250  0.3750  4 Pr 3.05
Hg  0.3750  0.2500  0.6250  4 Pr 3.05
Hg  0.3750  0.6250  0.7500  4 Pr 3.05
Hg  0.5000  0.0000  0.0000  6 Pr 3.11
Hg  0.5000  0.0000  0.5000  6 Pr 3.11
Hg  0.5000  0.5000  0.0000  6 Pr 3.11
Hg  0.5000  0.5000  0.5000  6 Pr 3.11
Hg  0.6250  0.3750  0.2500  4 Pr 3.05
Hg  0.6250  0.7500  0.3750  4 Pr 3.05
Hg  0.7500  0.3750  0.6250  4 Pr 3.05
Hg  0.7500  0.8750  0.1250  4 Pr 3.05
Hg  0.8750  0.1250  0.7500  4 Pr 3.05
Hg  0.8750  0.2500  0.1250  4 Pr 3.05


(2)
Material: Pr2PuHg3
Method: DFT, PBE
State: relaxed

- ρ (g/cm3) = 11.10
- energy relative to the elements (eV per formula unit) = -2.077

Unit cell a=3.8398 b=3.8398 c=11.4392 alpha=90.00 beta=90.00 gamma=90.00
With the nearest neighbours (Å) after each atom.
Positions (direct):
Pr  0.0000  0.0000  0.1692  8 Hg 3.33
Pr  0.0000  0.0000  0.8308  8 Hg 3.33
Pu  0.0000  0.0000  0.5000  8 Hg 3.29
Hg  0.5000  0.5000  0.0000  8 Pr 3.33
Hg  0.5000  0.5000  0.3374  4 Pu 3.29, 4 Pr 3.33
Hg  0.5000  0.5000  0.6626  4 Pu 3.29, 4 Pr 3.33


(3)
Material: Pr2PuHg
Method: DFT, PBE
State: relaxed

- ρ (g/cm3) = 9.94
- energy relative to the elements (eV per formula unit) = -0.437

Unit cell a=3.6810 b=3.6810 c=8.9582 alpha=90.00 beta=90.00 gamma=90.00
With the nearest neighbours (Å) after each atom.
Positions (direct):
Pr  0.0000  0.0000  0.2322  4 Hg 3.33, 4 Pu 3.54, 4 Pr 3.68
Pr  0.0000  0.0000  0.7678  4 Hg 3.33, 4 Pu 3.54, 4 Pr 3.68
Pu  0.5000  0.5000  0.5000  8 Pr 3.54, 4 Pu 3.68
Hg  0.5000  0.5000  0.0000  8 Pr 3.33, 4 Hg 3.68


(4)
Material: Pr2PuHg8
Method: DFT, PBE
State: relaxed

- ρ (g/cm3) = 12.08
- energy relative to the elements (eV per formula unit) = -2.817

Unit cell a=8.7849 b=8.7849 c=8.7849 alpha=145.12 beta=130.22 gamma=62.22
With the nearest neighbours (Å) after each atom.
Positions (direct):
Pr  0.1944  0.1944  0.0000  10 Hg 3.15-3.46
Pr  0.8056  0.8056  0.0000  10 Hg 3.15-3.46
Pu  0.5000  0.5000  0.0000  8 Hg 3.05-3.38
Hg  0.0657  0.3552  0.7105  1 Pu 3.05, 6 Hg 3.11-3.42, 3 Pr 3.15-3.23
Hg  0.2126  0.0000  0.2126  7 Hg 3.14-3.42, 2 Pr 3.32, 2 Pu 3.38
Hg  0.3433  0.8433  0.5000  8 Hg 3.17-3.40, 2 Pr 3.46, 2 Pu 3.53
Hg  0.3553  0.6448  0.7105  1 Pu 3.05, 6 Hg 3.11-3.42, 3 Pr 3.15-3.23
Hg  0.6447  0.3552  0.2895  1 Pu 3.05, 6 Hg 3.11-3.42, 3 Pr 3.15-3.23
Hg  0.6567  0.1567  0.5000  8 Hg 3.17-3.40, 2 Pr 3.46, 2 Pu 3.53
Hg  0.7874  0.0000  0.7874  7 Hg 3.14-3.42, 2 Pr 3.32, 2 Pu 3.38
Hg  0.9343  0.6448  0.2895  1 Pu 3.05, 6 Hg 3.11-3.42, 3 Pr 3.15-3.23


Q: Which value of ρ does entry 4 give?
A: 12.08 g/cm3


Q: Look up the ρ of the third one.
A: 9.94 g/cm3